Arrangement a

{
  "formula": "Pm2Pr8Dy3",
  "functional": "PBE",
  "state": "relaxed",
  "density_g_cm3": 6.9,
  "vol_a3_per_atom": 35.18,
  "sg": "C2/m (12)",
  "magnetic_moment_mub_per_cell": 0.00,
  "lattice_angstrom": [[6.1310, 0.7477, 0.4475], [-0.8329, 10.3381, -5.8616], [2.3530, -1.8518, 8.5063]],
  "species": ["Pm", "Pm", "Pr", "Pr", "Pr", "Pr", "Pr", "Pr", "Pr", "Pr", "Dy", "Dy", "Dy"],
  "fractional_positions": [[0.6602, 0.6907, 0.3814], [0.3398, 0.3093, 0.6186], [0.7605, 0.4156, 0.8312], [0.2395, 0.5844, 0.1688], [0.1018, 0.8612, 0.7223], [0.8982, 0.1388, 0.2777], [0.3425, 0.9234, 0.3256], [0.3425, 0.4022, 0.3256], [0.6575, 0.5978, 0.6744], [0.6575, 0.0766, 0.6744], [0.5000, 0.0000, 0.0000], [0.0000, 0.2658, 0.0000], [0.0000, 0.7342, 0.0000]]
}

---

Arrangement b

{
  "formula": "Pm2Pr8Dy3",
  "functional": "PBE",
  "state": "relaxed",
  "density_g_cm3": 6.8,
  "vol_a3_per_atom": 35.85,
  "sg": "C2/m (12)",
  "magnetic_moment_mub_per_cell": 0.00,
  "lattice_angstrom": [[5.7311, 0.0000, 0.7646], [0.0000, 7.7567, 0.0000], [-1.3783, -3.8784, 10.2996]],
  "species": ["Pm", "Pm", "Pr", "Pr", "Pr", "Pr", "Pr", "Pr", "Pr", "Pr", "Dy", "Dy", "Dy"],
  "fractional_positions": [[0.4989, 0.2400, 0.4801], [0.5011, 0.7600, 0.5199], [0.0008, 0.6723, 0.3446], [0.9992, 0.3277, 0.6554], [0.9995, 0.1305, 0.2610], [0.0005, 0.8695, 0.7390], [0.4998, 0.6004, 0.7918], [0.4998, 0.1914, 0.7918], [0.5002, 0.8086, 0.2082], [0.5002, 0.3996, 0.2082], [0.5000, 0.0000, 0.0000], [0.0000, 0.2845, 0.0000], [0.0000, 0.7155, 0.0000]]
}

---

It turns out arrangement a is the most stable, with the second structure 39 meV per atom higher.

---

Arrangement a

{
  "formula": "PmPr5Dy5",
  "functional": "PBE",
  "state": "relaxed",
  "density_g_cm3": 7.2,
  "vol_a3_per_atom": 34.66,
  "sg": "C2/m (12)",
  "magnetic_moment_mub_per_cell": 0.40,
  "lattice_angstrom": [[-3.2133, 4.6044, 2.2757], [-3.0901, -1.4910, -9.4109], [-3.2711, -4.4680, 4.4213]],
  "species": ["Pm", "Pr", "Pr", "Pr", "Pr", "Pr", "Dy", "Dy", "Dy", "Dy", "Dy"],
  "fractional_positions": [[0.0000, 0.0000, 0.0000], [0.8243, 0.6487, 0.0678], [0.8243, 0.6486, 0.5801], [0.5000, 0.0000, 0.0000], [0.1757, 0.3514, 0.4199], [0.1757, 0.3513, 0.9322], [0.6697, 0.3394, 0.1710], [0.6228, 0.2456, 0.6244], [0.0000, 0.0000, 0.5000], [0.3772, 0.7544, 0.3756], [0.3303, 0.6606, 0.8290]]
}

---

Arrangement b

{
  "formula": "PmPr5Dy5",
  "functional": "PBE",
  "state": "relaxed",
  "density_g_cm3": 7.1,
  "vol_a3_per_atom": 35.55,
  "sg": "P-6m2 (187)",
  "magnetic_moment_mub_per_cell": 0.00,
  "lattice_angstrom": [[6.1789, 0.0000, 0.0000], [-3.0895, 5.3511, 0.0000], [0.0000, 0.0000, 11.8282]],
  "species": ["Pm", "Pr", "Pr", "Pr", "Pr", "Pr", "Dy", "Dy", "Dy", "Dy", "Dy"],
  "fractional_positions": [[0.3333, 0.6667, 0.0000], [0.6667, 0.3333, 0.1551], [0.6667, 0.3333, 0.8449], [0.3333, 0.6667, 0.3189], [0.3333, 0.6667, 0.6811], [0.0000, 0.0000, 0.0000], [0.3332, 0.1666, 0.5000], [0.0000, 0.0000, 0.2661], [0.8334, 0.6668, 0.5000], [0.8334, 0.1666, 0.5000], [0.0000, 0.0000, 0.7339]]
}

---

It turns out arrangement a is the most stable, with the second structure 28 meV per atom higher.

---

Arrangement a

{
  "formula": "Pm3Pr7Dy",
  "functional": "PBE",
  "state": "relaxed",
  "density_g_cm3": 6.5,
  "vol_a3_per_atom": 36.60,
  "sg": "C2/m (12)",
  "magnetic_moment_mub_per_cell": 0.00,
  "lattice_angstrom": [[6.5527, 0.0180, 0.4413], [0.4335, 7.7969, 1.0652], [-0.0041, -0.0013, 7.8812]],
  "species": ["Pm", "Pm", "Pm", "Pr", "Pr", "Pr", "Pr", "Pr", "Pr", "Pr", "Dy"],
  "fractional_positions": [[0.0000, 0.8298, 0.1702], [0.5000, 0.0000, 0.0000], [0.0000, 0.1702, 0.8298], [0.7851, 0.2390, 0.2390], [0.7384, 0.9193, 0.5727], [0.2616, 0.4273, 0.0807], [0.7384, 0.5727, 0.9193], [0.0000, 0.5000, 0.5000], [0.2616, 0.0807, 0.4273], [0.2149, 0.7610, 0.7610], [0.5000, 0.5000, 0.5000]]
}

---

Arrangement b

{
  "formula": "Pm3Pr7Dy",
  "functional": "PBE",
  "state": "relaxed",
  "density_g_cm3": 6.6,
  "vol_a3_per_atom": 36.29,
  "sg": "C2/m (12)",
  "magnetic_moment_mub_per_cell": 0.00,
  "lattice_angstrom": [[-2.5861, 0.0608, 5.4383], [5.8083, -6.4267, -0.4864], [7.1028, 4.9824, 0.0016]],
  "species": ["Pm", "Pm", "Pm", "Pr", "Pr", "Pr", "Pr", "Pr", "Pr", "Pr", "Dy"],
  "fractional_positions": [[0.0000, 0.7927, 0.2073], [0.5000, 0.0000, 0.0000], [0.0000, 0.2073, 0.7927], [0.2095, 0.2098, 0.2098], [0.3042, 0.0113, 0.5975], [0.6958, 0.4025, 0.9887], [0.3042, 0.5975, 0.0113], [0.0000, 0.5000, 0.5000], [0.6958, 0.9887, 0.4025], [0.7905, 0.7902, 0.7902], [0.5000, 0.5000, 0.5000]]
}

---

It turns out arrangement b is the most stable, with the second structure 6 meV per atom higher.

---

Arrangement a

{
  "formula": "Pm5Pr5Dy2",
  "functional": "PBE",
  "state": "relaxed",
  "density_g_cm3": 7.0,
  "vol_a3_per_atom": 34.68,
  "sg": "C2/m (12)",
  "magnetic_moment_mub_per_cell": 0.00,
  "lattice_angstrom": [[5.8420, 0.0000, 0.0000], [-2.9210, 5.9873, -0.3338], [0.0000, -3.3255, 12.0830]],
  "species": ["Pm", "Pm", "Pm", "Pm", "Pm", "Pr", "Pr", "Pr", "Pr", "Pr", "Dy", "Dy"],
  "fractional_positions": [[0.5000, 0.0000, 0.5000], [0.6895, 0.3790, 0.0308], [0.5728, 0.1456, 0.2453], [0.4272, 0.8544, 0.7547], [0.3105, 0.6210, 0.9692], [0.1876, 0.3752, 0.4682], [0.7400, 0.4799, 0.7751], [0.2600, 0.5201, 0.2249], [0.8124, 0.6248, 0.5318], [0.0000, 0.0000, 0.0000], [0.0842, 0.1685, 0.7083], [0.9158, 0.8315, 0.2917]]
}

---

Arrangement b

{
  "formula": "Pm5Pr5Dy2",
  "functional": "PBE",
  "state": "relaxed",
  "density_g_cm3": 7.0,
  "vol_a3_per_atom": 34.69,
  "sg": "C2/m (12)",
  "magnetic_moment_mub_per_cell": 0.00,
  "lattice_angstrom": [[-1.0644, 0.3584, -5.0485], [-8.0790, -0.8697, -1.0076], [-4.2791, 10.0696, -1.0322]],
  "species": ["Pm", "Pm", "Pm", "Pm", "Pm", "Pr", "Pr", "Pr", "Pr", "Pr", "Dy", "Dy"],
  "fractional_positions": [[0.5000, 0.5000, 0.5000], [0.3328, 0.3342, 0.0002], [0.4184, 0.9140, 0.2491], [0.5816, 0.0860, 0.7509], [0.6672, 0.6658, 0.9998], [0.8352, 0.8305, 0.4992], [0.2513, 0.7474, 0.7500], [0.7487, 0.2526, 0.2500], [0.1648, 0.1695, 0.5008], [0.0000, 0.0000, 0.0000], [0.9164, 0.4157, 0.7515], [0.0836, 0.5843, 0.2485]]
}

---

It turns out arrangement b is the most stable, with the second structure 69 meV per atom higher.

---

Arrangement a

{
  "formula": "Pm3Pr8Dy2",
  "functional": "PBE",
  "state": "relaxed",
  "density_g_cm3": 6.7,
  "vol_a3_per_atom": 36.19,
  "sg": "C2/m (12)",
  "magnetic_moment_mub_per_cell": 0.00,
  "lattice_angstrom": [[-3.4513, -4.4947, -1.4832], [2.1008, -3.7503, 6.4766], [-8.9151, 6.2454, 1.8434]],
  "species": ["Pm", "Pm", "Pm", "Pr", "Pr", "Pr", "Pr", "Pr", "Pr", "Pr", "Pr", "Dy", "Dy"],
  "fractional_positions": [[0.5000, 0.0000, 0.0000], [0.0000, 0.2862, 0.0000], [0.0000, 0.7138, 0.0000], [0.0011, 0.6747, 0.3493], [0.9989, 0.3253, 0.6507], [0.9991, 0.1341, 0.2681], [0.0009, 0.8659, 0.7319], [0.5000, 0.6004, 0.7860], [0.5000, 0.1856, 0.7860], [0.5000, 0.8144, 0.2140], [0.5000, 0.3996, 0.2140], [0.4984, 0.2410, 0.4820], [0.5016, 0.7590, 0.5180]]
}

---

Arrangement b

{
  "formula": "Pm3Pr8Dy2",
  "functional": "PBE",
  "state": "relaxed",
  "density_g_cm3": 6.8,
  "vol_a3_per_atom": 35.44,
  "sg": "C2/m (12)",
  "magnetic_moment_mub_per_cell": 0.00,
  "lattice_angstrom": [[6.1182, 0.2973, 1.3311], [1.9410, 8.6242, 1.4962], [0.7845, -0.7325, 8.9012]],
  "species": ["Pm", "Pm", "Pm", "Pr", "Pr", "Pr", "Pr", "Pr", "Pr", "Pr", "Pr", "Dy", "Dy"],
  "fractional_positions": [[0.5000, 0.0000, 0.0000], [0.0000, 0.2459, 0.7541], [0.0000, 0.7541, 0.2459], [0.2120, 0.5563, 0.5563], [0.7880, 0.4437, 0.4437], [0.9489, 0.1517, 0.1517], [0.0511, 0.8483, 0.8483], [0.6711, 0.5723, 0.0827], [0.6711, 0.0827, 0.5723], [0.3289, 0.9173, 0.4277], [0.3289, 0.4277, 0.9173], [0.3557, 0.2886, 0.2886], [0.6443, 0.7114, 0.7114]]
}

---

It turns out arrangement b is the most stable, with the second structure 51 meV per atom higher.

---

Arrangement a

{
  "formula": "Pm2Pr3Dy3",
  "functional": "PBE",
  "state": "relaxed",
  "density_g_cm3": 7.4,
  "vol_a3_per_atom": 33.89,
  "sg": "Immm (71)",
  "magnetic_moment_mub_per_cell": 0.00,
  "lattice_angstrom": [[-2.8731, -3.8942, 1.6831], [2.5196, -3.2118, -3.1302], [7.0431, 1.6983, 8.1536]],
  "species": ["Pm", "Pm", "Pr", "Pr", "Pr", "Dy", "Dy", "Dy"],
  "fractional_positions": [[0.7496, 0.2496, 0.4992], [0.2504, 0.7504, 0.5008], [0.6240, 0.6240, 0.2480], [0.3760, 0.3760, 0.7520], [0.5000, 0.0000, 0.0000], [0.1252, 0.1252, 0.2503], [0.0000, 0.5000, 0.0000], [0.8748, 0.8748, 0.7497]]
}

---

Arrangement b

{
  "formula": "Pm2Pr3Dy3",
  "functional": "PBE",
  "state": "relaxed",
  "density_g_cm3": 7.2,
  "vol_a3_per_atom": 34.54,
  "sg": "Cmcm (63)",
  "magnetic_moment_mub_per_cell": 0.00,
  "lattice_angstrom": [[-2.5815, -4.7588, -1.6219], [6.1072, 0.8944, -2.4982], [6.3494, -7.7847, 12.7349]],
  "species": ["Pm", "Pm", "Pm", "Pm", "Pr", "Pr", "Pr", "Pr", "Pr", "Pr", "Dy", "Dy", "Dy", "Dy", "Dy", "Dy"],
  "fractional_positions": [[0.7786, 0.5573, 0.8717], [0.2214, 0.4427, 0.3717], [0.7786, 0.5573, 0.6283], [0.2214, 0.4427, 0.1283], [0.9254, 0.8507, 0.4052], [0.0746, 0.1493, 0.9052], [0.9254, 0.8507, 0.0948], [0.0746, 0.1493, 0.5948], [0.7336, 0.4673, 0.2500], [0.2664, 0.5327, 0.7500], [0.6196, 0.2393, 0.4498], [0.3804, 0.7607, 0.9498], [0.6196, 0.2393, 0.0502], [0.3804, 0.7607, 0.5502], [0.4592, 0.9184, 0.2500], [0.5408, 0.0816, 0.7500]]
}

---

It turns out arrangement a is the most stable, with the second structure 108 meV per atom higher.

---

Arrangement a

{
  "formula": "Pm3PrDy",
  "functional": "PBE",
  "state": "relaxed",
  "density_g_cm3": 7.2,
  "vol_a3_per_atom": 34.13,
  "sg": "P-1 (2)",
  "magnetic_moment_mub_per_cell": 0.00,
  "lattice_angstrom": [[-8.1147, -0.0985, -0.4999], [0.5469, -6.7083, -7.8071], [3.8028, -1.3638, 4.8510]],
  "species": ["Pm", "Pm", "Pm", "Pm", "Pm", "Pm", "Pr", "Pr", "Dy", "Dy"],
  "fractional_positions": [[0.5995, 0.6007, 0.3987], [0.7978, 0.2974, 0.1968], [0.4005, 0.3993, 0.6013], [0.2009, 0.1989, 0.8019], [0.2022, 0.7026, 0.8032], [0.7991, 0.8011, 0.1981], [0.0000, 0.5000, 0.0000], [0.0000, 0.0000, 0.0000], [0.4011, 0.9017, 0.6025], [0.5989, 0.0983, 0.3975]]
}

---

Arrangement b

{
  "formula": "Pm3PrDy",
  "functional": "PBE",
  "state": "relaxed",
  "density_g_cm3": 7.1,
  "vol_a3_per_atom": 34.58,
  "sg": "Cmcm (63)",
  "magnetic_moment_mub_per_cell": 0.00,
  "lattice_angstrom": [[4.7639, 0.0000, 0.0000], [-2.3820, 5.9031, 0.0000], [0.0000, 0.0000, 12.2972]],
  "species": ["Pm", "Pm", "Pm", "Pm", "Pm", "Pm", "Pr", "Pr", "Dy", "Dy"],
  "fractional_positions": [[0.9149, 0.8298, 0.7500], [0.0851, 0.1702, 0.2500], [0.2859, 0.5717, 0.5974], [0.7141, 0.4283, 0.4026], [0.7141, 0.4283, 0.0974], [0.2859, 0.5717, 0.9026], [0.3870, 0.7740, 0.2500], [0.6130, 0.2260, 0.7500], [0.0000, 0.0000, 0.5000], [0.0000, 0.0000, 0.0000]]
}

---

It turns out arrangement a is the most stable, with the second structure 136 meV per atom higher.

---

Arrangement a

{
  "formula": "Pm2Pr4Dy3",
  "functional": "PBE",
  "state": "relaxed",
  "density_g_cm3": 7.1,
  "vol_a3_per_atom": 34.76,
  "sg": "P3m1 (156)",
  "magnetic_moment_mub_per_cell": 0.00,
  "lattice_angstrom": [[3.6456, 0.0000, 0.0000], [-1.8228, 3.1572, 0.0000], [0.0000, 0.0000, 27.1840]],
  "species": ["Pm", "Pm", "Pr", "Pr", "Pr", "Pr", "Dy", "Dy", "Dy"],
  "fractional_positions": [[0.6667, 0.3333, 0.0855], [0.6667, 0.3333, 0.8750], [0.0000, 0.0000, 0.5465], [0.6667, 0.3333, 0.4314], [0.6667, 0.3333, 0.2174], [0.0000, 0.0000, 0.7624], [0.0000, 0.0000, 0.9820], [0.0000, 0.0000, 0.3227], [0.6667, 0.3333, 0.6542]]
}

---

Arrangement b

{
  "formula": "Pm2Pr4Dy3",
  "functional": "PBE",
  "state": "relaxed",
  "density_g_cm3": 7.2,
  "vol_a3_per_atom": 34.21,
  "sg": "C2/m (12)",
  "magnetic_moment_mub_per_cell": 0.00,
  "lattice_angstrom": [[-4.5021, -1.5883, -1.9566], [2.9397, 5.9119, -4.7606], [2.5643, -13.8034, 5.3051]],
  "species": ["Pm", "Pm", "Pr", "Pr", "Pr", "Pr", "Dy", "Dy", "Dy"],
  "fractional_positions": [[0.7800, 0.5601, 0.3343], [0.2200, 0.4399, 0.6657], [0.6656, 0.3313, 0.9998], [0.3344, 0.6687, 0.0002], [0.8873, 0.7745, 0.6653], [0.1127, 0.2255, 0.3347], [0.5580, 0.1160, 0.6676], [0.0000, 0.0000, 0.0000], [0.4420, 0.8840, 0.3324]]
}

---

It turns out arrangement b is the most stable, with the second structure 39 meV per atom higher.